Arrangement w

Density functional theory data (SCAN) for a PBEsol-optimized structure of BaMg2Tc.

Lattice parameters (Å, degrees): 4.8904 5.2254 4.8904 62.10 90.00 117.90
Last column: magnetic moment on the atom in μB.
Atoms (fractional coordinates):
Ba1 0.7500 0.5000 0.7500  -0.02
Tc1 0.5000 0.0000 0.5000  1.31
Mg1 0.2500 0.5000 0.2500  -0.02
Mg2 0.0000 0.0000 0.0000  -0.02

As for the magnetic moment: 1.22 μB per formula unit. Its density of states at the Fermi level is 2.48 states/eV per cell.

=====

Arrangement x

Density functional theory data (SCAN) for a PBEsol-optimized structure of BaMg2Tc.

Lattice parameters (Å, degrees): 3.1503 3.8766 8.0143 90.00 90.00 90.00
Atoms (fractional coordinates):
Mg1 0.0000 0.0000 0.0748
Ba1 0.5000 0.5000 0.7071
Mg2 0.5000 0.5000 0.2885
Tc1 0.0000 0.0000 0.4296

As for the magnetic moment: 0.00 μB per formula unit. Its density of states at the Fermi level is 3.30 states/eV per cell.

=====

The most stable of them is arrangement x.

=====

Arrangement w

Density functional theory data (SCAN) for a PBEsol-optimized structure of BaMnMo2.

Lattice parameters (Å, degrees): 3.0732 3.0732 9.4658 80.66 80.66 60.00
Last column: magnetic moment on the atom in μB.
Atoms (fractional coordinates):
Mn1 0.0000 0.0000 0.0000  1.66
Mo1 0.2745 0.2745 0.1766  -0.84
Mo2 0.7255 0.7255 0.8234  -0.84
Ba1 0.5000 0.5000 0.5000  0.07

As for the magnetic moment: 0.05 μB per formula unit. Its density of states at the Fermi level is 4.13 states/eV per cell.

=====

Arrangement x

Density functional theory data (SCAN) for a PBEsol-optimized structure of BaMnMo2.

Lattice parameters (Å, degrees): 3.1569 3.1569 9.6244 80.56 80.56 60.00
Last column: magnetic moment on the atom in μB.
Atoms (fractional coordinates):
Mo1 0.0023 0.0023 0.9932  -0.32
Mo2 0.7297 0.7297 0.8110  0.14
Ba1 0.4998 0.4998 0.5006  -0.03
Mn1 0.2683 0.2683 0.1952  3.96

As for the magnetic moment: 3.85 μB per formula unit. Its density of states at the Fermi level is 3.32 states/eV per cell.

=====

The most stable of them is arrangement x.

=====

Arrangement w

Density functional theory data (SCAN) for a PBEsol-optimized structure of BaMnOs2.

Lattice parameters (Å, degrees): 3.8985 3.8985 4.8604 90.00 90.00 90.00
Last column: magnetic moment on the atom in μB.
Atoms (fractional coordinates):
Ba1 0.5000 0.5000 0.5000  0.02
Os1 0.0000 0.5000 0.0000  -0.47
Os2 0.5000 0.0000 0.0000  -0.47
Mn1 0.0000 0.0000 0.5000  3.96

As for the magnetic moment: 3.06 μB per formula unit. Its density of states at the Fermi level is 4.92 states/eV per cell.

=====

Arrangement x

Density functional theory data (SCAN) for a PBEsol-optimized structure of BaMnOs2.

Lattice parameters (Å, degrees): 2.9206 5.3845 5.9329 116.99 104.25 90.00
Last column: magnetic moment on the atom in μB.
Atoms (fractional coordinates):
Os1 0.7059 0.2059 0.4119  -0.51
Os2 0.0054 0.0054 0.0107  -0.18
Ba1 0.4954 0.4954 0.9907  -0.02
Mn1 0.2933 0.7933 0.5867  4.06

As for the magnetic moment: 3.44 μB per formula unit. Its density of states at the Fermi level is 3.00 states/eV per cell.

=====

The most stable of them is arrangement x.

=====

Arrangement w

Density functional theory data (SCAN) for a PBEsol-optimized structure of Ba2MnOs.

Lattice parameters (Å, degrees): 4.2834 4.9740 6.1357 113.91 90.00 90.00
Last column: magnetic moment on the atom in μB.
Atoms (fractional coordinates):
Ba1 0.0000 0.9750 0.9500  0.00
Os1 0.5000 0.5852 0.1704  -0.10
Mn1 0.0000 0.6585 0.3169  3.40
Ba2 0.5000 0.2704 0.5409  -0.03

As for the magnetic moment: 3.49 μB per formula unit. Its density of states at the Fermi level is 3.97 states/eV per cell.

=====

Arrangement x

Density functional theory data (SCAN) for a PBEsol-optimized structure of Ba2MnOs.

Lattice parameters (Å, degrees): 4.1190 5.6189 5.9551 118.15 110.23 90.00
Last column: magnetic moment on the atom in μB.
Atoms (fractional coordinates):
Ba1 0.9690 0.9690 0.9380  -0.03
Ba2 0.7789 0.2789 0.5579  -0.01
Os1 0.1753 0.6753 0.3505  -0.09
Mn1 0.5768 0.5768 0.1536  3.39

As for the magnetic moment: 3.47 μB per formula unit. Its density of states at the Fermi level is 3.31 states/eV per cell.

=====

Arrangement y

Density functional theory data (SCAN) for a PBEsol-optimized structure of Ba2MnOs.

Lattice parameters (Å, degrees): 4.1508 5.1110 5.1110 90.00 90.00 90.00
Last column: magnetic moment on the atom in μB.
Atoms (fractional coordinates):
Os1 0.5000 0.0000 0.0000  0.81
Ba1 0.0000 0.0000 0.5000  -0.06
Mn1 0.5000 0.5000 0.5000  4.29
Ba2 0.0000 0.5000 0.0000  -0.06

As for the magnetic moment: 5.15 μB per formula unit. Its density of states at the Fermi level is 3.68 states/eV per cell.

=====

The most stable of them is arrangement w.

=====

Arrangement w

Density functional theory data (SCAN) for a PBEsol-optimized structure of BaMn3Pt.

Lattice parameters (Å, degrees): 4.9408 4.9408 4.9408 90.00 90.00 90.00
Last column: magnetic moment on the atom in μB.
Atoms (fractional coordinates):
Pt1 0.0000 0.0000 0.0000  0.33
Mn1 0.0000 0.5000 0.0000  4.30
Mn2 0.5000 0.0000 0.0000  4.30
Ba1 0.5000 0.5000 0.5000  -0.11
Mn3 0.0000 0.0000 0.5000  4.30

As for the magnetic moment: 13.51 μB per formula unit. Its density of states at the Fermi level is 3.42 states/eV per cell.

=====

Arrangement x

Density functional theory data (SCAN) for a PBEsol-optimized structure of BaMn3Pt.

Lattice parameters (Å, degrees): 4.8060 4.8060 4.8060 90.00 90.00 90.00
Last column: magnetic moment on the atom in μB.
Atoms (fractional coordinates):
Mn1 0.0000 0.0000 0.5000  3.69
Ba1 0.0000 0.0000 0.0000  -0.40
Pt1 0.5000 0.5000 0.5000  0.17
Mn2 0.0000 0.5000 0.0000  3.69
Mn3 0.5000 0.0000 0.0000  3.69

As for the magnetic moment: 10.91 μB per formula unit. Its density of states at the Fermi level is 2.79 states/eV per cell.

=====

The most stable of them is arrangement w.

=====

Arrangement w

Density functional theory data (SCAN) for a PBEsol-optimized structure of BaMn2Ru.

Lattice parameters (Å, degrees): 3.2497 4.8444 4.8444 106.22 90.00 90.00
Last column: magnetic moment on the atom in μB.
Atoms (fractional coordinates):
Ba1 0.5000 0.5000 0.5000  -0.14
Ru1 0.5000 0.0000 0.0000  0.42
Mn1 0.0000 0.5000 0.0000  3.92
Mn2 0.0000 0.0000 0.5000  3.92

As for the magnetic moment: 8.21 μB per formula unit. Its density of states at the Fermi level is 1.60 states/eV per cell.

=====

Arrangement x

Density functional theory data (SCAN) for a PBEsol-optimized structure of BaMn2Ru.

Lattice parameters (Å, degrees): 3.0978 4.2824 6.2574 90.00 103.91 90.00
Last column: magnetic moment on the atom in μB.
Atoms (fractional coordinates):
Mn1 0.7251 0.0000 0.8858  1.32
Ru1 0.5000 0.5000 0.0000  -0.05
Mn2 0.2749 0.0000 0.1142  1.32
Ba1 0.0000 0.5000 0.5000  -0.01

As for the magnetic moment: 2.72 μB per formula unit. Its density of states at the Fermi level is 4.92 states/eV per cell.

=====

The most stable of them is arrangement w.